Computed, not measured: an optimized crystal structure of Hf2Ga2Ru at the PBE level of DFT.

Cell and atoms, written as extended XYZ:
```
10
Lattice="-2.9471 1.8761 1.5220 -4.1892 -3.1532 -4.2249 -0.8206 -4.9406 4.5010" Properties=species:S:1:pos:R:3 pbc="T T T"
Ru 0.0000 0.0000 0.0000
Ru -2.5049 -4.0469 0.1380
Hf -2.7508 -2.9330 3.0593
Hf -4.9717 -5.2698 1.6394
Hf -5.2060 -3.2847 -1.2612
Hf -2.9852 -0.9479 0.1587
Ga -2.2565 -5.4530 2.3522
Ga -4.1565 -5.8585 -0.8271
Ga -2.7533 -2.6408 -2.0762
Ga -0.8532 -2.2353 1.1032
```

- D(E_F) (states/eV per atom) = 0.4820
- V (Å³/f.u.) = 86
- uncorrected energy (eV per atom) = -7.5972